## TbDyAgRu (PBE)

Data for an optimized crystal structure of TbDyAgRu.

Calculated values
For the energy relative to the lowest polymorph listed for this composition, the calculation gives 0.00 eV/f.u. The total moment is 0.00 Bohr magnetons per cell. The value obtained for the uncorrected energy is -22.96 eV per cell. Its energy relative to the elements is -400.7 meV/atom.

Cell: 3.428 3.428 7.520 Å, 90.00 90.00 90.00°
Space group P4mm (No. 99)
Asymmetric unit:
Tb 0.000 0.000 0.000 (multiplicity 1)
Dy 0.000 0.000 0.555 (multiplicity 1)
Ag 0.500 0.500 0.280 (multiplicity 1)
Ru 0.500 0.500 0.776 (multiplicity 1)



## HfBeTeN2 (PBE)

Data for an optimized crystal structure of HfBeTeN2.

Calculated values
For the energy relative to the lowest polymorph listed for this composition, the calculation gives 2.18 eV/f.u. The total moment is 0.81 Bohr magnetons per cell. The value obtained for the uncorrected energy is -28.55 eV per cell. The uncorrected formation energy is 4.92 eV/f.u.

Cell: 3.850 3.850 4.835 Å, 90.00 90.00 90.00°
Space group P4/mmm (No. 123)
Asymmetric unit:
Hf 0.000 0.000 0.000 (multiplicity 1)
Be 0.500 0.500 0.500 (multiplicity 1)
Te 0.500 0.500 0.000 (multiplicity 1)
N 0.000 0.500 0.500 (multiplicity 2)



## SrH3Pt (PBE)

Data for an optimized crystal structure of SrH3Pt.

Calculated values
The total moment is 0.00 Bohr magnetons per cell. The value obtained for the uncorrected energy is -20.61 eV per cell.

Cell: 3.840 3.840 3.840 Å, 90.00 90.00 90.00°
Space group Pm-3m (No. 221)
Asymmetric unit:
Sr 0.000 0.000 0.000 (multiplicity 1)
H 0.000 0.500 0.500 (multiplicity 3)
Pt 0.500 0.500 0.500 (multiplicity 1)



## Mn3VCo6 (PBE)

Data for an optimized crystal structure of Mn3VCo6.

Calculated values
The total moment is 88.29 Bohr magnetons per cell. The value obtained for the uncorrected energy is -471.53 eV per cell. Its energy relative to the elements is 67.4 meV/atom.

Cell: 9.7256 9.7256 8.5068 Å, 90.00 90.00 120.00°
Space group R-3m (No. 166, hexagonal axes)
Asymmetric unit:
Mn 0.0896 0.1793 0.2485 (multiplicity 18)
V 0.0000 0.0000 0.0000 (multiplicity 3)
V 0.0000 0.0000 0.5000 (multiplicity 3)
Co 0.0000 0.2580 0.5000 (multiplicity 18)
Co 0.0484 0.5242 0.6232 (multiplicity 18)



## Sm6HC2Se3 (PBE)

Data for an optimized crystal structure of Sm6HC2Se3.

Calculated values
The total moment is 0.00 Bohr magnetons per cell. The value obtained for the uncorrected energy is -146.93 eV per cell.

Cell: 17.347 3.898 8.082 Å, 90.00 105.44 90.00°
Space group C2/m (No. 12)
Asymmetric unit:
Sm 0.016 0.000 0.254 (multiplicity 4)
Sm 0.166 0.500 0.119 (multiplicity 4)
Sm 0.177 0.500 0.560 (multiplicity 4)
H 0.000 0.500 0.000 (multiplicity 2)
C 0.165 0.000 0.331 (multiplicity 4)
Se 0.000 0.500 0.500 (multiplicity 2)
Se 0.163 0.000 0.834 (multiplicity 4)



## ErTaCoRu (PBE)

Data for an optimized crystal structure of ErTaCoRu.

Calculated values
The total moment is 3.40 Bohr magnetons per cell. The value obtained for the uncorrected energy is -134.60 eV per cell. Its energy relative to the elements is -213.3 meV/atom.

Cell: 6.446 6.446 6.446 Å, 90.00 90.00 90.00°
Space group F-43m (No. 216)
Asymmetric unit:
Er 0.000 0.000 0.000 (multiplicity 4)
Ta 0.000 0.000 0.500 (multiplicity 4)
Co 0.250 0.250 0.250 (multiplicity 4)
Ru 0.250 0.250 0.750 (multiplicity 4)



## Pr2Ho2Cd15 (PBE)

Data for an optimized crystal structure of Pr2Ho2Cd15.

Calculated values
The total moment is 0.01 Bohr magnetons per cell. The value obtained for the uncorrected energy is -105.82 eV per cell. Its energy relative to the elements is -149.0 meV/atom.

Cell: 10.0953 10.0953 15.9214 Å, 90.00 90.00 120.00°
Space group R-3m (No. 166, hexagonal axes)
Asymmetric unit:
Pr 0.0000 0.0000 0.1719 (multiplicity 6)
Ho 0.0000 0.0000 0.4018 (multiplicity 6)
Cd 0.0000 0.2924 0.5000 (multiplicity 18)
Cd 0.0000 0.5000 0.0000 (multiplicity 9)
Cd 0.0137 0.5069 0.6370 (multiplicity 18)



## Pm4Hg (PBE)

Data for an optimized crystal structure of Pm4Hg.

Calculated values
For the energy relative to the lowest polymorph listed for this composition, the calculation gives 2.14 eV/f.u. The total moment is 0.00 Bohr magnetons per cell. The value obtained for the uncorrected energy is -18.06 eV per cell. Its energy relative to the elements is 248.0 meV/atom.

Cell: 5.810 5.810 5.810 Å, 90.00 90.00 90.00°
Space group Pm-3m (No. 221)
Asymmetric unit:
Pm 0.000 0.000 0.000 (multiplicity 1)
Pm 0.000 0.500 0.500 (multiplicity 3)
Hg 0.500 0.500 0.500 (multiplicity 1)



> Among the records above, which one has the highest uncorrected energy?

Pm4Hg



> The lowest uncorrected energy belongs to which entry?

Mn3VCo6



> uncorrected energy of number 5 (Sm6HC2Se3)?

-146.93 eV per cell



> Which value of uncorrected energy does entry 7 give?

-105.82 eV per cell